First-principles (PBE) data for crystalline ScCdCl2 at its relaxed geometry, as listed in Alexandria via LeMat-Bulk.

Computed properties:
formation energy (no corrections): -1185 meV per atom
ρ: 3.37 g/cm³
ΔE to the lowest computed polymorph: 97 meV/atom

Lattice parameters (Å, degrees): 3.5335 4.9598 12.8313 90.00 90.00 90.00
Last column: nearest neighbours and their distance in Å.
Space group Amm2 (No. 38)
Asymmetric unit:
Sc 0.0000 0.0000 0.0000 x2  4 Cl 2.50-2.55
Cd 0.5000 0.0000 0.1936 x2  2 Sc 3.05, 2 Cl 3.24
Cl 0.0000 0.0000 0.5251 x2  2 Sc 2.50
Cl 0.5000 0.0000 0.8565 x2  2 Sc 2.55

First-principles (PBE) data for crystalline Cd4InAu5 at its relaxed geometry, as listed in Alexandria via LeMat-Bulk.

Computed properties:
formation energy from the elements: -86 meV per atom
ρ: 11.85 g/cm³
ΔE to the lowest computed polymorph: 74 meV/atom

Lattice parameters (Å, degrees): 8.7946 8.7946 5.6144 90.00 90.00 90.00
Last column: nearest neighbours and their distance in Å.
Space group I4 (No. 79)
Asymmetric unit:
Cd 0.0756 0.3207 0.0000 x8  6 Au 2.82-3.13
In 0.0000 0.0000 0.2682 x2  6 Au 2.68-2.93
Au 0.0000 0.0000 0.7901 x2  2 In 2.68-2.93, 4 Au 2.98
Au 0.1087 0.2629 0.5035 x8  5 Cd 2.82-2.90, 1 In 2.83, 1 Au 2.98

First-principles (PBE) data for crystalline Nb2GeIr at its relaxed geometry, as listed in Alexandria via LeMat-Bulk.

Computed properties:
formation energy from the elements: 45 meV per atom
ρ: 10.38 g/cm³

Lattice parameters (Å, degrees): 7.1484 7.1484 5.6450 90.00 90.00 90.00
Last column: nearest neighbours and their distance in Å.
Space group I-42d (No. 122)
Asymmetric unit:
Nb 0.2434 0.2500 0.1250 x8  2 Ir 2.59, 2 Ge 2.66, 2 Nb 2.82
Ge 0.0000 0.0000 0.5000 x4  4 Nb 2.66, 2 Ir 2.82
Ir 0.0000 0.0000 0.0000 x4  4 Nb 2.59, 2 Ge 2.82

First-principles (PBE) data for crystalline PrDy2Y at its relaxed geometry, as listed in Alexandria via LeMat-Bulk.

Computed properties:
formation energy from the elements: 21 meV per atom
ρ: 7.03 g/cm³
ΔE to the lowest computed polymorph: 13 meV/atom

Lattice parameters (Å, degrees): 3.5960 3.5960 35.1256 90.00 90.00 120.00
Last column: nearest neighbours and their distance in Å.
Space group R-3m (No. 166, hexagonal axes)
Asymmetric unit:
Pr 0.0000 0.0000 0.0000 x3  6 Pr 3.60, 6 Dy 3.62
Dy 0.0000 0.0000 0.2487 x6  3 Y 3.55, 6 Dy 3.60, 3 Pr 3.62
Y 0.0000 0.0000 0.5000 x3  6 Dy 3.55, 6 Y 3.60

First-principles (PBE) data for crystalline Ca2YCr at its relaxed geometry, as listed in Alexandria via LeMat-Bulk.

Computed properties:
formation energy from the elements: 463 meV per atom
ρ: 2.97 g/cm³
ΔE to the lowest computed polymorph: 183 meV/atom

Lattice parameters (Å, degrees): 4.7674 4.7674 10.8684 90.00 90.00 90.00
Last column: nearest neighbours and their distance in Å.
Space group I4/mmm (No. 139)
Asymmetric unit:
Ca 0.0000 0.5000 0.2500 x4  4 Ca 3.37, 4 Cr 3.61, 4 Y 3.61
Y 0.0000 0.0000 0.0000 x2  4 Cr 3.37, 8 Ca 3.61
Cr 0.0000 0.0000 0.5000 x2  4 Y 3.37, 8 Ca 3.61

First-principles (PBE) data for crystalline AgPd8Pt3 at its relaxed geometry, as listed in Alexandria via LeMat-Bulk.

Computed properties:
formation energy from the elements: 89 meV per atom
ρ: 13.02 g/cm³
ΔE to the lowest computed polymorph: 0 meV/atom

Lattice parameters (Å, degrees): 4.8055 6.2609 7.3005 94.99 109.00 105.08
Last column: nearest neighbours and their distance in Å.
Space group P1 (No. 1)
Asymmetric unit:
Ag 0.0000 0.0000 0.0000 x1  9 Pd 2.75-2.86, 2 Pt 2.78-2.85
Pd 0.2313 0.4579 0.1498 x1  4 Pt 2.70-2.86, 1 Ag 2.77, 6 Pd 2.77-2.80
Pd 0.3832 0.7612 0.9121 x1  3 Pt 2.77-2.80, 7 Pd 2.77-2.82, 2 Ag 2.78-2.84
Pd 0.4650 0.9186 0.2998 x1  6 Pd 2.72-2.78, 1 Ag 2.76, 3 Pt 2.78-2.79
Pd 0.5279 0.0731 0.6764 x1  7 Pd 2.72-2.81, 3 Pt 2.74-2.82, 1 Ag 2.86
Pd 0.6128 0.2264 0.0693 x1  7 Pd 2.74-2.82, 2 Ag 2.75-2.77, 2 Pt 2.78-2.82
Pd 0.6915 0.3733 0.4521 x1  4 Pt 2.71-2.80, 6 Pd 2.73-2.86
Pd 0.7651 0.5301 0.8351 x1  7 Pd 2.76-2.85, 4 Pt 2.76-2.79, 1 Ag 2.85
Pd 0.9245 0.8479 0.6005 x1  4 Pt 2.71-2.82, 6 Pd 2.72-2.86, 1 Ag 2.86
Pt 0.1498 0.3017 0.7508 x1  9 Pd 2.71-2.86, 1 Pt 2.74, 1 Ag 2.85
Pt 0.3033 0.6062 0.5254 x1  9 Pd 2.70-2.82, 2 Pt 2.73-2.74
Pt 0.8478 0.6853 0.2248 x1  9 Pd 2.71-2.80, 1 Pt 2.73, 1 Ag 2.78

First-principles (PBE) data for crystalline CaScGa4 at its relaxed geometry, as listed in Alexandria via LeMat-Bulk.

Computed properties:
formation energy from the elements: -416 meV per atom
ρ: 4.84 g/cm³
ΔE to the lowest computed polymorph: 85 meV/atom

Lattice parameters (Å, degrees): 8.7333 16.7331 3.4182 90.00 90.00 90.00
Last column: nearest neighbours and their distance in Å.
Space group Pbam (No. 55)
Asymmetric unit:
Ca 0.1167 0.1523 0.0000 x4  10 Ga 3.19-3.49, 2 Ca 3.42
Sc 0.1234 0.4179 0.0000 x4  10 Ga 2.87-2.90
Ga 0.0223 0.6993 0.5000 x4  3 Ga 2.48-2.73
Ga 0.1237 0.9643 0.5000 x4  3 Ga 2.47-2.68
Ga 0.1356 0.5558 0.5000 x4  2 Ga 2.60, 4 Sc 2.87
Ga 0.2101 0.8103 0.5000 x4  3 Ga 2.48-2.73

First-principles (PBE) data for crystalline Pr3Mg5Pt2 at its relaxed geometry, as listed in Alexandria via LeMat-Bulk.

Computed properties:
formation energy from the elements: -427 meV per atom
ρ: 6.02 g/cm³

Lattice parameters (Å, degrees): 12.3065 12.9810 6.4552 90.00 90.00 90.00
Last column: nearest neighbours and their distance in Å.
Space group Ibam (No. 72)
Asymmetric unit:
Pr 0.0000 0.0000 0.2500 x4  4 Pt 3.01, 2 Pr 3.23
Pr 0.2472 0.1566 0.0000 x8  1 Pt 2.91
Mg 0.0000 0.2645 0.2500 x8  2 Pt 2.71
Mg 0.0000 0.5000 0.2500 x4  8 Mg 2.90-3.23
Mg 0.1712 0.4098 0.0000 x8  1 Pt 2.57
Pt 0.1303 0.1516 0.5000 x8  3 Mg 2.57-2.71

First-principles (PBE) data for crystalline TbPr2As2Se2 at its relaxed geometry, as listed in Alexandria via LeMat-Bulk.

Computed properties:
formation energy (no corrections): -1152 meV per atom
ρ: 5.80 g/cm³

Lattice parameters (Å, degrees): 5.3576 5.3576 14.9210 90.00 90.00 90.00
Last column: nearest neighbours and their distance in Å.
Space group I4/mmm (No. 139)
Asymmetric unit:
Tb 0.0000 0.0000 0.0000 x2  4 As 2.68, 2 Se 2.82
Pr 0.0000 0.0000 0.3776 x4  1 Se 2.81
As 0.0000 0.5000 0.0000 x4  2 Tb 2.68
Se 0.0000 0.0000 0.1892 x4  1 Pr 2.81, 1 Tb 2.82

First-principles (PBE) data for crystalline SrMg2NbTl at its relaxed geometry, as listed in Alexandria via LeMat-Bulk.

Computed properties:
formation energy from the elements: 480 meV per atom
ρ: 4.47 g/cm³

Lattice parameters (Å, degrees): 5.4191 5.4191 5.4822 90.00 90.00 90.00
Last column: nearest neighbours and their distance in Å.
Space group P4/mmm (No. 123)
Asymmetric unit:
Sr 0.0000 0.0000 0.0000 x1  4 Tl 3.83, 8 Mg 3.85
Mg 0.0000 0.5000 0.5000 x2  2 Nb 2.71
Nb 0.5000 0.5000 0.5000 x1  4 Mg 2.71, 2 Tl 2.74
Tl 0.5000 0.5000 0.0000 x1  2 Nb 2.74

First-principles (PBE) data for crystalline CsRb at its relaxed geometry, as listed in Alexandria via LeMat-Bulk.

Computed properties:
formation energy from the elements: 217 meV per atom
ρ: 0.90 g/cm³
ΔE to the lowest computed polymorph: 218 meV/atom

Lattice parameters (Å, degrees): 14.7790 14.7790 14.7790 90.00 90.00 90.00
Last column: nearest neighbours and their distance in Å.
Space group I-43m (No. 217)
Asymmetric unit:
Cs 0.1999 0.1999 0.8001 x8  4 Rb 4.71-4.99
Rb 0.1160 0.1160 0.1160 x8  4 Cs 4.71-4.99, 3 Rb 4.85

First-principles (PBE) data for crystalline CeSm2Os2 at its relaxed geometry, as listed in Alexandria via LeMat-Bulk.

Computed properties:
formation energy from the elements: -184 meV per atom
ρ: 11.41 g/cm³
ΔE to the lowest computed polymorph: 16 meV/atom

Lattice parameters (Å, degrees): 10.1245 5.9274 8.1459 90.00 101.99 90.00
Last column: nearest neighbours and their distance in Å.
Space group C2/c (No. 15)
Asymmetric unit:
Ce 0.0000 0.1316 0.2500 x4  4 Os 2.63-2.80
Sm 0.1503 0.3652 0.6503 x8  6 Os 3.12-3.25, 2 Ce 3.46-3.49
Os 0.1384 0.1406 0.0108 x8  2 Ce 2.63-2.80, 1 Os 2.64

First-principles (PBE) data for crystalline HPd3Rh at its relaxed geometry, as listed in Alexandria via LeMat-Bulk.

Computed properties:
ρ: 11.16 g/cm³
ΔE to the lowest computed polymorph: 0 meV/atom

Lattice parameters (Å, degrees): 3.9785 3.9785 3.9785 90.00 90.00 90.00
Last column: nearest neighbours and their distance in Å.
Space group Pm-3m (No. 221)
Asymmetric unit:
H 0.0000 0.0000 0.0000 x1  6 Pd 1.99
Pd 0.0000 0.0000 0.5000 x3  2 H 1.99
Rh 0.5000 0.5000 0.5000 x1  12 Pd 2.81

First-principles (PBE) data for crystalline V2HRuW at its relaxed geometry, as listed in Alexandria via LeMat-Bulk.

Computed properties:
ρ: 10.82 g/cm³
ΔE to the lowest computed polymorph: 76 meV/atom

Lattice parameters (Å, degrees): 3.8104 3.8104 4.0978 90.00 90.00 90.00
Last column: nearest neighbours and their distance in Å.
Space group P4/mmm (No. 123)
Asymmetric unit:
V 0.0000 0.5000 0.0000 x2  2 H 1.91
H 0.0000 0.0000 0.0000 x1  4 V 1.91, 2 W 2.05
Ru 0.5000 0.5000 0.5000 x1  4 W 2.69, 8 V 2.80
W 0.0000 0.0000 0.5000 x1  2 H 2.05

First-principles (PBE) data for crystalline Hg4SeSBr2 at its relaxed geometry, as listed in Alexandria via LeMat-Bulk.

Computed properties:
formation energy (no corrections): -205 meV per atom
ρ: 6.68 g/cm³

Lattice parameters (Å, degrees): 10.9243 6.8414 7.1379 90.00 90.00 90.00
Last column: nearest neighbours and their distance in Å.
Space group Pmn2_1 (No. 31)
Asymmetric unit:
Hg 0.0000 0.0106 0.0000 x2  1 S 2.41, 1 Se 2.53
Hg 0.0000 0.9310 0.4659 x2  1 S 2.50, 1 Se 2.66
Hg 0.2468 0.7139 0.7731 x4  1 S 2.71, 1 Se 2.77
Se 0.0000 0.2577 0.2647 x2  4 Hg 2.53-2.77
S 0.0000 0.7515 0.7711 x2  2 Hg 2.41-2.50
Br 0.2080 0.7626 0.2807 x4  1 Hg 2.87

First-principles (PBE) data for crystalline HfBe17Co at its relaxed geometry, as listed in Alexandria via LeMat-Bulk.

Computed properties:
formation energy from the elements: -129 meV per atom
ρ: 3.90 g/cm³

Lattice parameters (Å, degrees): 7.3305 7.3305 10.7309 90.00 90.00 120.00
Last column: nearest neighbours and their distance in Å.
Space group R3m (No. 160, hexagonal axes)
Asymmetric unit:
Hf 0.0000 0.0000 0.0000 x3  19 Be 2.62-2.80
Be 0.0000 0.0000 0.2441 x3  7 Be 2.12-2.38
Be 0.0000 0.0000 0.4419 x3  7 Be 2.12-2.28, 1 Co 2.36
Be 0.0084 0.3033 0.3394 x18  8 Be 2.10-2.29
Be 0.0112 0.5056 0.8355 x9  10 Be 2.11-2.28
Be 0.0134 0.5067 0.4941 x9  9 Be 2.13-2.38
Be 0.0135 0.5068 0.1903 x9  9 Be 2.13-2.24
Co 0.0000 0.0000 0.6618 x3  10 Be 2.36-2.54

First-principles (PBE) data for crystalline Rb2AsPI6 at its relaxed geometry, as listed in Alexandria via LeMat-Bulk.

Computed properties:
formation energy (no corrections): -544 meV per atom
ρ: 4.42 g/cm³

Lattice parameters (Å, degrees): 8.1458 8.1458 11.7565 90.00 90.00 90.00
Last column: nearest neighbours and their distance in Å.
Space group I4/mmm (No. 139)
Asymmetric unit:
Rb 0.0000 0.5000 0.2500 x4  12 I 4.07-4.12
As 0.0000 0.0000 0.0000 x2  6 I 2.92-2.97
P 0.0000 0.0000 0.5000 x2  6 I 2.84-2.91
I 0.0000 0.0000 0.2528 x4  1 P 2.91, 1 As 2.97
I 0.2461 0.2461 0.5000 x8  1 P 2.84, 1 As 2.92

First-principles (PBE) data for crystalline Pm3Dy2Zn2 at its relaxed geometry, as listed in Alexandria via LeMat-Bulk.

Computed properties:
formation energy from the elements: -171 meV per atom
ρ: 7.53 g/cm³
ΔE to the lowest computed polymorph: 0 meV/atom

Lattice parameters (Å, degrees): 3.6380 3.6380 29.6872 90.00 90.00 90.00
Last column: nearest neighbours and their distance in Å.
Space group I4/mmm (No. 139)
Asymmetric unit:
Pm 0.0000 0.0000 0.0000 x2  8 Zn 3.16
Pm 0.0000 0.0000 0.1225 x4  4 Zn 3.14
Dy 0.0000 0.0000 0.2904 x4  8 Dy 3.52-3.64, 4 Pm 3.65
Zn 0.0000 0.0000 0.4382 x4  8 Pm 3.14-3.16

First-principles (PBE) data for crystalline Tb2CeTi at its relaxed geometry, as listed in Alexandria via LeMat-Bulk.

Computed properties:
formation energy from the elements: 425 meV per atom
ρ: 7.60 g/cm³

Lattice parameters (Å, degrees): 3.3109 3.3109 34.9299 90.00 90.00 120.00
Last column: nearest neighbours and their distance in Å.
Space group R-3m (No. 166, hexagonal axes)
Asymmetric unit:
Tb 0.0000 0.0000 0.0842 x6  1 Ti 2.94
Ce 0.0000 0.0000 0.5000 x3  6 Ce 3.31, 6 Tb 3.46
Ti 0.0000 0.0000 0.0000 x3  2 Tb 2.94

First-principles (PBE) data for crystalline Pd2Pt7Rh2 at its relaxed geometry, as listed in Alexandria via LeMat-Bulk.

Computed properties:
formation energy from the elements: 203 meV per atom
ρ: 16.06 g/cm³

Lattice parameters (Å, degrees): 5.3826 9.0939 7.5396 90.00 90.00 90.00
Last column: nearest neighbours and their distance in Å.
Space group Cmm2 (No. 35)
Asymmetric unit:
Pd 0.0000 0.2342 0.0000 x4  7 Pt 2.65-2.80, 2 Pd 2.71
Pt 0.0000 0.0000 0.7905 x2  2 Pd 2.65, 2 Rh 2.68, 6 Pt 2.70-2.78
Pt 0.0000 0.5000 0.1772 x2  2 Rh 2.67, 5 Pt 2.71-2.82, 2 Pd 2.76
Pt 0.0000 0.5000 0.8182 x2  7 Pt 2.70-2.86, 2 Pd 2.78, 2 Rh 2.85
Pt 0.2500 0.2500 0.3096 x4  2 Rh 2.63, 5 Pt 2.69-2.82, 2 Pd 2.70
Pt 0.2500 0.2500 0.6746 x4  2 Rh 2.69, 7 Pt 2.69-2.86, 2 Pd 2.80
Rh 0.2477 0.5000 0.4841 x4  7 Pt 2.63-2.85, 2 Rh 2.67-2.72

First-principles (PBE) data for crystalline TiGaCu at its relaxed geometry, as listed in Alexandria via LeMat-Bulk.

Computed properties:
formation energy from the elements: -257 meV per atom
ρ: 6.84 g/cm³

Lattice parameters (Å, degrees): 13.9944 2.7318 4.7687 90.00 105.28 90.00
Last column: nearest neighbours and their distance in Å.
Space group C2/m (No. 12)
Asymmetric unit:
Ti 0.0760 0.0000 0.2894 x4  3 Ti 2.73-3.01, 6 Ga 2.76-2.79, 3 Cu 2.79
Ga 0.1040 0.5000 0.8149 x4  3 Cu 2.54-2.60, 2 Ga 2.73, 6 Ti 2.76-2.79
Cu 0.2478 0.5000 0.2696 x4  3 Ga 2.54-2.60, 4 Cu 2.57-2.73, 3 Ti 2.79

First-principles (PBE) data for crystalline Ca2In8Co at its relaxed geometry, as listed in Alexandria via LeMat-Bulk.

Computed properties:
formation energy from the elements: -234 meV per atom
ρ: 6.60 g/cm³

Lattice parameters (Å, degrees): 4.6415 4.6415 12.3518 90.00 90.00 90.00
Last column: nearest neighbours and their distance in Å.
Space group P4/mmm (No. 123)
Asymmetric unit:
Ca 0.0000 0.0000 0.1946 x2  12 In 3.28-3.34
In 0.0000 0.5000 0.0000 x2  8 In 3.28-3.31, 4 Ca 3.34
In 0.0000 0.5000 0.3822 x4  2 Co 2.74, 1 In 2.91
In 0.5000 0.5000 0.1916 x2  4 Ca 3.28, 8 In 3.31
Co 0.0000 0.0000 0.5000 x1  8 In 2.74

Record-wise total moment values, in Bohr magnetons per cell: 1.842 0.000 0.000 0.000 7.152 0.000 0.000 0.000 0.000 1.879 0.000 0.000 1.119 0.000 0.000 0.001 0.000 0.000 4.887 0.000 0.000 0.000